DFT (PBE-GGA) results for Cu2MoBr after structural relaxation.

Cell and atoms, written as POSCAR:
```
Cu2MoBr
1.0
-2.1791 -5.0197 4.7954
2.8466 -5.2302 -4.1814
2.5819 -4.9035 1.5605
Br Cu Mo
2 4 2
direct
0.5000 0.5000 0.0000 Br
0.2500 0.7500 0.5000 Br
0.1310 0.6250 0.2500 Cu
0.3750 0.3810 0.7500 Cu
0.8750 0.8690 0.7500 Cu
0.6190 0.1250 0.2500 Cu
0.0000 0.0000 0.0000 Mo
0.7500 0.2500 0.5000 Mo
```

Results
Formation energy without anion corrections in meV/atom: 852
Total energy in eV per atom: -4.322
Polymorph energy (0 for the lowest one) in eV/atom: 0.409
Spin magnetization in μB/cell: 5.82
Symmetry: I-42d, No. 122
N(E_F) in states/eV/atom: 0.3528